The following is a PBE calculation of crystalline HgAsIr2 at its relaxed geometry, from the Alexandria database.

Calculated values
As for the space group: P4mm. Its crystal system is tetragonal. The energy relative to the lowest polymorph listed for this composition comes out at 0.029 eV per atom. The energy relative to the elements comes out at 0.259 eV/atom.

abc: 2.9098 2.9098 8.4772
angles: 90.00 90.00 90.00
Atoms (fractional coordinates):
1 Ir 0.5000 0.5000 0.2497
2 Ir 0.0000 0.0000 0.0297
3 As 0.0000 0.0000 0.4369
4 Hg 0.5000 0.5000 0.7837